1.
Ni2SbTe | PBE | optimized geometry

Unit cell a=3.3032 b=3.3045 c=6.4897 alpha=90.00 beta=90.00 gamma=90.00
Positions (direct):
Ni (0.0000, 0.0000, 0.5063)
Ni (0.0000, 0.0000, 0.9937)
Te (0.5000, 0.5000, 0.7500)
Sb (0.5000, 0.5000, 0.2500)

Output
- SG = P4/mmm (123)
- ΔE_f (raw) (eV per atom) = 0.182
- ρ (g cm⁻³) = 8.597
- total energy (eV per atom) = -4.5244
- crystal system = tetragonal
- energy above the lowest structure with this stoichiometry (meV/atom) = 408.1

=====

2.
Ni4Sb2Te | PBE | optimized geometry

Unit cell a=4.6814 b=4.6814 c=7.3835 alpha=71.52 beta=71.52 gamma=90.00
Positions (direct):
Ni (0.8165, 0.8165, 0.3669)
Ni (0.1835, 0.1835, 0.6331)
Ni (0.5000, 0.0000, 0.0000)
Ni (0.0000, 0.5000, 0.0000)
Sb (0.3675, 0.3675, 0.2651)
Sb (0.6325, 0.6325, 0.7349)
Te (0.0000, 0.0000, 0.0000)

Output
- SG = I4/mmm (139)
- ΔE_f (raw) (eV per atom) = 0.544
- ρ (g cm⁻³) = 6.956
- total energy (eV per atom) = -4.3860
- crystal system = tetragonal

=====

3.
NiSbTe2 | PBE | optimized geometry

Unit cell a=5.1004 b=5.1004 c=5.1004 alpha=60.00 beta=60.00 gamma=60.00
Each line ends with the local moment (μB).
Positions (direct):
Ni (0.5000, 0.5000, 0.5000)  0.33
Te (0.2500, 0.2500, 0.2500)  0.03
Te (0.0000, 0.0000, 0.0000)  0.01
Sb (0.7500, 0.7500, 0.7500)  0.01

Output
- SG = F-43m (216)
- ΔE_f (raw) (eV per atom) = 0.542
- ρ (g cm⁻³) = 7.711
- total energy (eV per atom) = -3.5049
- crystal system = cubic

=====

4.
NiSbTe2 | PBE | optimized geometry

Unit cell a=3.2784 b=3.2784 c=9.3686 alpha=90.00 beta=90.00 gamma=107.45
Positions (direct):
Te (0.0000, 0.0000, 0.4336)
Te (0.0000, 0.0000, 0.0664)
Sb (0.5000, 0.5000, 0.7500)
Ni (0.5000, 0.5000, 0.2500)

Output
- SG = Cmmm (65)
- ΔE_f (raw) (eV per atom) = 0.230
- ρ (g cm⁻³) = 7.531
- total energy (eV per atom) = -3.8171
- crystal system = orthorhombic

=====

5.
NiSbTe2 | PBE | optimized geometry

Unit cell a=3.7620 b=3.7672 c=7.2748 alpha=90.00 beta=90.00 gamma=90.00
Positions (direct):
Ni (0.0000, 0.0000, 0.5534)
Te (0.0000, 0.0000, 0.9230)
Te (0.5000, 0.5000, 0.3185)
Sb (0.5000, 0.5000, 0.7052)

Output
- SG = P4mm (99)
- ΔE_f (raw) (eV per atom) = 0.255
- ρ (g cm⁻³) = 7.017
- total energy (eV per atom) = -3.7920
- crystal system = tetragonal

=====

6.
Ni2SbTe | PBE | optimized geometry

Unit cell a=4.7468 b=4.7468 c=4.7468 alpha=60.00 beta=60.00 gamma=60.00
Positions (direct):
Te (0.7500, 0.7500, 0.7500)
Ni (0.0000, 0.0000, 0.0000)
Ni (0.2500, 0.2500, 0.2500)
Sb (0.5000, 0.5000, 0.5000)

Output
- SG = F-43m (216)
- ΔE_f (raw) (eV per atom) = 0.614
- ρ (g cm⁻³) = 8.053
- total energy (eV per atom) = -4.0924
- crystal system = cubic
- energy above the lowest structure with this stoichiometry (meV/atom) = 840.1

=====

7.
NiSbTe2 | PBE | optimized geometry

Unit cell a=5.1087 b=5.1087 c=3.6154 alpha=90.00 beta=90.00 gamma=90.08
Positions (direct):
Te (0.5000, 0.5000, 0.0000)
Te (0.0000, 0.0000, 0.0000)
Ni (0.5000, 0.0000, 0.5000)
Sb (0.0000, 0.5000, 0.5000)

Output
- SG = Cmmm (65)
- ΔE_f (raw) (eV per atom) = 0.456
- ρ (g cm⁻³) = 7.667
- total energy (eV per atom) = -3.5906
- crystal system = orthorhombic

=====

8.
Ni3Sb2Te2 | PBE | optimized geometry

Unit cell a=6.5033 b=6.5033 c=6.7957 alpha=59.39 beta=59.39 gamma=35.51
Positions (direct):
Ni (0.7458, 0.7458, 0.2622)
Ni (0.9968, 0.9968, 0.0019)
Ni (0.2538, 0.2538, 0.7383)
Sb (0.3693, 0.3693, 0.9651)
Sb (0.8751, 0.8751, 0.4633)
Te (0.6285, 0.6285, 0.0362)
Te (0.1281, 0.1281, 0.5330)

Output
- SG = Cm (8)
- ΔE_f (raw) (eV per atom) = -0.225
- ρ (g cm⁻³) = 7.942
- total energy (eV per atom) = -4.7780
- crystal system = monoclinic
- energy above the lowest structure with this stoichiometry (meV/atom) = 0.0

=====

9.
NiSbTe2 | PBE | optimized geometry

Unit cell a=3.1176 b=3.1176 c=10.5599 alpha=90.00 beta=90.00 gamma=90.00
Positions (direct):
Sb (0.5000, 0.5000, 0.6669)
Te (0.0000, 0.0000, 0.9856)
Te (0.5000, 0.5000, 0.3382)
Ni (0.0000, 0.0000, 0.5093)

Output
- SG = P4mm (99)
- ΔE_f (raw) (eV per atom) = 0.095
- ρ (g cm⁻³) = 7.048
- total energy (eV per atom) = -3.9519
- crystal system = tetragonal

=====

10.
NiSbTe2 | PBE | optimized geometry

Unit cell a=5.0923 b=5.0892 c=5.0959 alpha=70.95 beta=69.62 gamma=109.02
Positions (direct):
Te (0.5000, 0.0000, 0.5000)
Te (0.0000, 0.0000, 0.0000)
Ni (0.0000, 0.5000, 0.5000)
Sb (0.5000, 0.5000, 0.0000)

Output
- SG = I4/mmm (139)
- ΔE_f (raw) (eV per atom) = 0.212
- ρ (g cm⁻³) = 7.121
- total energy (eV per atom) = -3.8344
- crystal system = tetragonal

=====

11.
NiSbTe2 | PBE | optimized geometry

Unit cell a=3.6927 b=3.9505 c=7.5681 alpha=74.96 beta=90.00 gamma=90.00
Positions (direct):
Sb (0.5000, 0.7326, 0.6609)
Te (0.5000, 0.3932, 0.3362)
Te (0.0000, 0.0999, 0.9246)
Ni (0.0000, 0.2743, 0.5784)

Output
- SG = Pm (6)
- ΔE_f (raw) (eV per atom) = -0.032
- ρ (g cm⁻³) = 6.785
- total energy (eV per atom) = -4.0787
- crystal system = monoclinic

=====

12.
Ni7Sb2Te | PBE | optimized geometry

Unit cell a=3.6981 b=3.6981 c=11.2091 alpha=99.49 beta=99.49 gamma=90.00
Positions (direct):
Ni (0.9134, 0.4134, 0.8267)
Ni (0.4134, 0.9134, 0.8267)
Ni (0.0866, 0.5866, 0.1733)
Ni (0.2500, 0.7500, 0.5000)
Ni (0.7500, 0.2500, 0.5000)
Ni (0.5866, 0.0866, 0.1733)
Ni (0.5000, 0.5000, 0.0000)
Sb (0.6680, 0.6680, 0.3361)
Sb (0.3320, 0.3320, 0.6639)
Te (0.0000, 0.0000, 0.0000)

Output
- SG = I4/mmm (139)
- ΔE_f (raw) (eV per atom) = -0.029
- ρ (g cm⁻³) = 8.711
- total energy (eV per atom) = -5.2142
- crystal system = tetragonal

=====

> Which of these has the lowest ΔE_f (raw)?

Ni3Sb2Te2

=====

Copy entry 11 word for word.
NiSbTe2 | PBE | optimized geometry

Unit cell a=3.6927 b=3.9505 c=7.5681 alpha=74.96 beta=90.00 gamma=90.00
Positions (direct):
Sb (0.5000, 0.7326, 0.6609)
Te (0.5000, 0.3932, 0.3362)
Te (0.0000, 0.0999, 0.9246)
Ni (0.0000, 0.2743, 0.5784)

Output
- SG = Pm (6)
- ΔE_f (raw) (eV per atom) = -0.032
- ρ (g cm⁻³) = 6.785
- total energy (eV per atom) = -4.0787
- crystal system = monoclinic